This record from Alexandria via LeMat-Bulk describes Hf2CrIr after structural relaxation. The functional is PBE.

The space group is I-42d (No. 122) and the conventional cell measures 7.176, 7.176 and 5.682 Å, with angles of 90.00, 90.00 and 90.00 degrees. The distinct sites, in fractional coordinates, are Hf at (0.245, 0.250, 0.125), Cr at (0.000, 0.000, 0.500) and Ir at (0.000, 0.000, 0.000).

As for the formation energy: 0.2390 eV per atom. The calculation puts the density of states at the Fermi level at 5.0 states/eV/f.u.